No. 1
Compound: Ba8Hg3I2
Source: Alexandria via LeMat-Bulk
Functional: GGA-PBE
Structure: relaxed

abc: 8.721 4.755 16.704
angles: 90.00 101.04 90.00
Space group P2/m (No. 10)
Unique sites:
Ba1 0.105 0.000 0.389 x2
Ba2 0.135 0.500 0.878 x2
Ba3 0.367 0.500 0.618 x2
Ba4 0.383 0.000 0.124 x2
Hg1 0.245 0.000 0.745 x2
Hg2 0.500 0.500 0.000 x1
I1 0.246 0.500 0.258 x2

Properties
V in Å³ per atom: 52.29
DOS at the Fermi energy in states/eV per cell: 17.0
Final energy in eV/cell: -26.8

***

No. 2
Compound: BaHg4I2
Source: Alexandria via LeMat-Bulk
Functional: GGA-PBE
Structure: relaxed

abc: 6.663 6.663 16.948
angles: 90.00 90.00 90.00
Space group I4/mmm (No. 139)
Unique sites:
Ba1 0.000 0.000 0.000 x2
Hg1 0.000 0.000 0.200 x4
Hg2 0.000 0.500 0.000 x4
I1 0.000 0.000 0.382 x4

Properties
V in Å³ per atom: 53.74
DOS at the Fermi energy in states/eV per cell: 0.2
Final energy in eV/cell: -16.9

***

No. 3
Compound: Ba2Hg2I
Source: Alexandria via LeMat-Bulk
Functional: GGA-PBE
Structure: relaxed

abc: 9.401 9.401 4.462
angles: 90.00 90.00 90.00
Space group P4/mbm (No. 127)
Unique sites:
Ba1 0.174 0.326 0.000 x4
Hg1 0.119 0.619 0.500 x4
I1 0.000 0.000 0.500 x2

Properties
V in Å³ per atom: 39.43
DOS at the Fermi energy in states/eV per cell: 9.5
Excess energy over the best structure of this formula in the dataset in meV per atom: 25

***

No. 4
Compound: Ba2HgI2
Source: Alexandria via LeMat-Bulk
Functional: GGA-PBE
Structure: relaxed

abc: 9.266 9.266 5.091
angles: 90.00 90.00 90.00
Space group P4/mbm (No. 127)
Unique sites:
Ba1 0.165 0.335 0.000 x4
Hg1 0.000 0.000 0.000 x2
I1 0.145 0.645 0.500 x4

Properties
V in Å³ per atom: 43.71
DOS at the Fermi energy in states/eV per cell: 5.2
Excess energy over the best structure of this formula in the dataset in meV per atom: 0

***

No. 5
Compound: Ba2Hg2I
Source: Alexandria via LeMat-Bulk
Functional: GGA-PBE
Structure: relaxed

abc: 4.508 4.508 19.610
angles: 90.00 90.00 90.00
Space group I4/mmm (No. 139)
Unique sites:
Ba1 0.000 0.000 0.117 x4
Hg1 0.000 0.500 0.250 x4
I1 0.000 0.000 0.500 x2

Properties
V in Å³ per atom: 39.85
DOS at the Fermi energy in states/eV per cell: 8.2
Excess energy over the best structure of this formula in the dataset in meV per atom: 46

***

No. 6
Compound: Ba2HgI2
Source: Alexandria via LeMat-Bulk
Functional: GGA-PBE
Structure: relaxed

abc: 9.747 9.747 4.319
angles: 90.00 90.00 90.00
Space group P4/mbm (No. 127)
Unique sites:
Ba1 0.166 0.334 0.000 x4
Hg1 0.000 0.000 0.500 x2
I1 0.134 0.634 0.500 x4

Properties
V in Å³ per atom: 41.04
DOS at the Fermi energy in states/eV per cell: 8.1
Excess energy over the best structure of this formula in the dataset in meV per atom: 25

***

No. 7
Compound: Ba2Hg2I
Source: Alexandria via LeMat-Bulk
Functional: GGA-PBE
Structure: relaxed

abc: 9.545 9.545 4.659
angles: 90.00 90.00 90.00
Space group P4/mbm (No. 127)
Unique sites:
Ba1 0.178 0.322 0.000 x4
Hg1 0.115 0.615 0.500 x4
I1 0.000 0.000 0.000 x2

Properties
V in Å³ per atom: 42.45
DOS at the Fermi energy in states/eV per cell: 11.4
Excess energy over the best structure of this formula in the dataset in meV per atom: 0

***

No. 8
Compound: BaHg3I9
Source: Alexandria via LeMat-Bulk
Functional: GGA-PBE
Structure: relaxed

abc: 21.303 11.180 14.252
angles: 90.00 125.76 90.00
Space group Cc (No. 9)
Unique sites:
Ba1 0.000 0.227 0.000 x4
Hg1 0.104 0.401 0.441 x4
Hg2 0.276 0.084 0.769 x4
Hg3 0.383 0.350 0.040 x4
I1 0.003 0.270 0.255 x4
I2 0.008 0.209 0.759 x4
I3 0.167 0.416 0.090 x4
I4 0.179 0.116 0.222 x4
I5 0.240 0.237 0.901 x4
I6 0.241 0.197 0.566 x4
I7 0.336 0.383 0.495 x4
I8 0.427 0.441 0.894 x4
I9 0.433 0.021 0.941 x4

Properties
V in Å³ per atom: 52.98
DOS at the Fermi energy in states/eV per cell: 7.2
Final energy in eV/cell: -94.5